Computed, not measured: a relaxed structure of Na3HfZn at the GGA-PBE level of DFT.

Cell and atoms, written as POSCAR:
```
Na3HfZn
1.0
6.308 0.000 0.000
0.000 6.308 0.000
0.000 0.000 6.308
Na Hf Zn
3 1 1
Direct
0.000 0.000 0.500 Na
0.000 0.500 0.000 Na
0.500 0.000 0.000 Na
0.000 0.000 0.000 Hf
0.500 0.500 0.500 Zn
```

Summary:
As for the calculated total energy: -8.20 eV/cell. The calculation puts the energy above the lowest structure with this stoichiometry at 0.392 eV per atom. The density of states at the Fermi level is 2.62 states/eV/atom. The value obtained for the formation energy from the elements is 1.40 eV/atom.